[1]
CeY2Cd | GGA-PBE | relaxed

```
CeY2Cd
1.0
-2.905 0.229 3.764
-3.439 -2.471 -2.503
1.833 -4.247 1.673
Cd Y Ce
1 2 1
Cartesian
-1.452 0.114 1.882
0.917 -2.123 0.836
-1.719 -1.235 -1.252
-2.255 -3.244 1.467
```

Values from the calculation:
Its calculated total energy is -4.9835 eV per atom. As for the polymorph energy (0 for the lowest one): 0.0766 eV/atom. For the formation enthalpy at 0 K, the calculation gives -0.039 eV per atom. The total magnetic moment is 1.73 μB per cell. Its space group is P4/mmm. The density of states at the Fermi level is 7.17 states/eV per cell.



[2]
CeYCd2 | GGA-PBE | relaxed

```
CeYCd2
1.0
-4.544 -2.156 1.877
-3.869 -1.497 -3.408
-1.021 -5.212 -0.780
Cd Y Ce
2 1 1
Cartesian
-7.075 -6.649 -1.733
-2.358 -2.216 -0.578
-4.717 -4.433 -1.155
0.000 0.000 0.000
```

Values from the calculation:
Its calculated total energy is -3.7828 eV per atom. As for the polymorph energy (0 for the lowest one): 0.0054 eV/atom. For the formation enthalpy at 0 K, the calculation gives -0.226 eV per atom. The total magnetic moment is 1.79 μB per cell. Its space group is Fm-3m. The density of states at the Fermi level is 10.29 states/eV per cell.



[3]
CeY2Cd | GGA-PBE | relaxed

```
CeY2Cd
1.0
5.434 0.000 0.000
2.717 4.706 0.000
2.717 1.569 4.437
Y Ce Cd
2 1 1
Cartesian
8.151 4.706 3.327
2.717 1.569 1.109
0.000 0.000 0.000
5.434 3.137 2.218
```

Values from the calculation:
Its calculated total energy is -4.8834 eV per atom. As for the polymorph energy (0 for the lowest one): 0.1768 eV/atom. For the formation enthalpy at 0 K, the calculation gives 0.061 eV per atom. The total magnetic moment is 3.59 μB per cell. Its space group is Fm-3m. The density of states at the Fermi level is 8.17 states/eV per cell.



[4]
CeY2Cd8 | GGA-PBE | relaxed

```
CeY2Cd8
1.0
5.158 0.032 -1.412
-0.762 5.728 -2.672
-0.322 0.603 8.974
Cd Ce Y
8 1 2
Cartesian
4.174 1.058 5.136
0.314 2.236 1.183
-0.099 5.305 -0.247
3.338 1.426 2.099
3.760 4.127 3.706
3.480 2.883 -2.390
0.736 4.937 2.790
0.916 2.878 -1.694
2.579 0.016 -0.706
1.162 2.157 4.293
2.912 4.206 0.597
```

Values from the calculation:
Its calculated total energy is -2.6191 eV per atom. For the formation enthalpy at 0 K, the calculation gives -0.239 eV per atom. The total magnetic moment is 1.22 μB per cell. Its space group is C2/m. The density of states at the Fermi level is 12.95 states/eV per cell.



[5]
CeY2Cd | GGA-PBE | relaxed

```
CeY2Cd
1.0
-1.396 2.704 1.857
-2.224 -0.658 2.707
7.219 0.334 8.361
Y Cd Ce
2 1 1
Cartesian
5.269 0.414 6.778
0.742 0.602 3.103
-2.410 1.364 3.046
1.798 1.190 6.461
```

Values from the calculation:
Its calculated total energy is -4.9649 eV per atom. As for the polymorph energy (0 for the lowest one): 0.0952 eV/atom. For the formation enthalpy at 0 K, the calculation gives -0.021 eV per atom. The total magnetic moment is 1.52 μB per cell. Its space group is R3m. The density of states at the Fermi level is 7.56 states/eV per cell.



[6]
CeY5Cd6 | GGA-PBE | relaxed

```
CeY5Cd6
1.0
5.055 0.004 -1.555
-0.835 7.073 -2.695
0.057 -0.596 9.176
Y Cd Ce
5 6 1
Cartesian
3.228 0.954 1.503
1.049 5.527 3.423
1.437 1.952 4.676
2.840 4.530 0.249
-0.418 3.536 -1.348
0.116 6.254 0.395
3.755 3.662 3.222
0.522 2.820 1.704
4.161 0.227 4.531
1.913 5.210 -2.762
2.307 1.868 -1.489
0.000 0.000 0.000
```

Values from the calculation:
Its calculated total energy is -3.9508 eV per atom. For the formation enthalpy at 0 K, the calculation gives -0.305 eV per atom. The total magnetic moment is 2.30 μB per cell. Its space group is Immm. The density of states at the Fermi level is 19.40 states/eV per cell.



[7]
CeYCd2 | GGA-PBE | relaxed

```
CeYCd2
1.0
-2.835 -0.962 -1.706
1.958 -1.385 -2.474
0.013 -7.773 4.361
Cd Y Ce
2 1 1
Cartesian
0.010 -5.903 3.312
0.003 -1.870 1.049
-0.438 -1.173 -2.090
-0.432 -5.060 0.091
```

Values from the calculation:
Its calculated total energy is -3.7882 eV per atom. As for the polymorph energy (0 for the lowest one): 0.0000 eV/atom. For the formation enthalpy at 0 K, the calculation gives -0.231 eV per atom. The total magnetic moment is 0.89 μB per cell. Its space group is P4/mmm. The density of states at the Fermi level is 7.63 states/eV per cell.



[8]
CeY2Cd6 | GGA-PBE | relaxed

```
CeY2Cd6
1.0
3.410 0.000 0.000
0.000 7.523 -4.343
0.000 0.000 8.687
Cd Y Ce
6 2 1
Cartesian
1.705 2.527 -1.459
1.705 0.000 2.918
1.705 2.527 1.459
1.705 0.000 5.768
1.705 4.996 2.884
1.705 4.996 5.803
0.000 2.508 4.343
3.410 5.015 0.000
0.000 0.000 8.687
```

Values from the calculation:
Its calculated total energy is -3.0083 eV per atom. For the formation enthalpy at 0 K, the calculation gives -0.302 eV per atom. The total magnetic moment is 1.23 μB per cell. Its space group is P6/mmm. The density of states at the Fermi level is 12.11 states/eV per cell.